Entry 1:
Entry from Alexandria via LeMat-Bulk: an optimized crystal structure of Ta2BeSnRh (PBE-GGA).

```
Ta2BeSnRh
1.0
4.8837 0.0000 0.0000
0.0000 4.8837 0.0000
0.0000 0.0000 4.1496
Ta Be Sn Rh
2 1 1 1
direct
0.0000 0.5000 0.0000
0.5000 0.0000 0.0000
0.0000 0.0000 0.5000
0.5000 0.5000 0.5000
0.0000 0.0000 0.0000
```

Calculated values
Energy relative to the elements in eV per atom: 0.656
Magnetization in μB/f.u.: 0.000

---

Entry 2:
Entry from Alexandria via LeMat-Bulk: an optimized crystal structure of Sm2VI (PBE-GGA).

```
Sm2VI
1.0
3.5579 0.0000 0.0000
-1.7789 3.0812 0.0000
0.0000 0.0000 32.5664
Sm V I
6 3 3
direct
0.0000 0.0000 0.0874
0.0000 0.0000 0.9126
0.3333 0.6667 0.5792
0.3333 0.6667 0.7541
0.6667 0.3333 0.2459
0.6667 0.3333 0.4208
0.0000 0.0000 0.0000
0.3333 0.6667 0.6667
0.6667 0.3333 0.3333
0.0000 0.0000 0.5000
0.3333 0.6667 0.1667
0.6667 0.3333 0.8333
```

Calculated values
E_form (uncorrected) in meV per atom: 379
Magnetization in μB/f.u.: 3.258